Record 1
Ni4P2O9 | the Alexandria database | meta-GGA SCAN | PBEsol geometry; formation energy (no corrections) = -170.3 kJ per mole of atoms; excess energy over the best structure of this formula in the dataset = 109 meV/atom
1.0
6.095 0.000 0.000
1.690 7.482 0.000
2.998 1.673 7.128
Ni P O
8 4 18
Cartesian
0.856 0.941 0.723
2.366 3.361 1.850
3.838 6.848 3.171
5.125 5.703 5.470
5.659 3.451 1.657
6.945 2.307 3.956
8.417 5.794 5.278
9.927 8.213 6.405
3.893 2.795 4.636
3.864 5.557 0.453
6.919 3.598 6.675
6.890 6.360 2.492
3.861 6.879 4.975
2.686 2.508 3.682
3.669 2.016 5.957
3.916 4.343 4.843
5.545 6.966 6.812
3.743 6.873 1.276
2.701 1.927 0.471
4.026 4.391 1.493
5.666 6.867 3.242
5.117 2.288 3.886
6.757 4.764 5.634
8.082 7.228 6.656
7.041 2.282 5.852
5.238 2.189 0.316
6.867 4.812 2.284
7.114 7.139 1.170
8.097 6.647 3.445
6.922 2.276 2.153

Record 2
NiP3O9 | the Alexandria database | meta-GGA SCAN | PBEsol geometry; formation energy (no corrections) = -201.6 kJ per mole of atoms; excess energy over the best structure of this formula in the dataset = 21 meV/atom
1.0
8.125 0.000 0.000
0.000 8.211 0.000
0.000 0.000 8.620
Ni P O
4 12 36
Cartesian
1.119 1.150 1.256
2.944 7.061 5.566
5.181 2.956 7.363
7.006 5.256 3.054
0.262 5.599 5.936
1.368 4.166 1.699
1.707 1.579 4.764
2.355 6.632 0.454
2.695 4.045 6.009
3.800 2.612 1.627
4.324 6.718 2.683
5.430 8.150 6.920
5.769 2.527 3.855
6.418 5.684 8.165
6.757 0.061 2.611
7.863 1.494 6.993
0.361 1.914 5.589
0.689 2.965 1.096
0.738 4.861 2.884
0.838 1.011 7.878
1.122 6.721 5.382
1.210 4.409 6.461
1.330 1.302 3.360
1.465 7.538 1.281
1.627 5.196 0.511
2.435 3.015 4.821
2.598 0.673 5.591
2.733 6.909 7.670
2.852 3.802 2.152
2.940 1.490 1.072
3.225 7.200 3.568
3.324 3.351 7.193
3.374 5.246 5.406
3.701 6.297 1.279
4.423 2.191 3.031
4.751 1.141 7.523
4.800 7.456 5.736
4.900 3.095 0.742
5.185 5.596 3.237
5.272 7.908 2.158
5.392 2.804 5.260
5.527 4.779 7.339
5.690 7.121 8.108
6.497 1.090 3.798
6.660 3.432 3.029
6.795 5.407 0.950
6.915 0.303 6.468
7.002 2.616 7.547
7.287 5.117 5.052
7.387 0.755 1.426
7.436 7.070 3.214
7.764 6.020 7.341

Record 3
Ni2PO5 | the Alexandria database | meta-GGA SCAN | PBEsol geometry; formation energy (no corrections) = -175.3 kJ per mole of atoms; excess energy over the best structure of this formula in the dataset = 17 meV/atom
1.0
6.998 0.000 0.000
0.000 6.203 0.000
0.000 0.000 7.390
Ni P O
8 4 20
Cartesian
0.000 0.000 0.000
0.000 3.101 0.000
1.006 1.551 2.034
2.493 4.652 5.729
3.499 0.000 3.695
3.499 3.101 3.695
4.505 1.551 1.661
5.992 4.652 5.356
0.831 4.652 2.662
2.668 1.551 6.357
4.330 4.652 1.033
6.166 1.551 4.728
0.402 1.551 3.875
0.706 4.652 6.371
0.926 3.433 1.699
0.926 5.871 1.699
1.360 1.551 7.219
2.139 4.652 3.524
2.573 0.332 5.394
2.573 2.769 5.394
2.793 1.551 2.676
3.097 4.652 0.180
3.901 1.551 7.210
4.204 4.652 4.715
4.425 3.433 1.996
4.425 5.871 1.996
4.859 1.551 3.866
5.638 4.652 0.171
6.072 0.332 5.691
6.072 2.769 5.691
6.292 1.551 1.019
6.596 4.652 3.515

Record 4
Ni2P2O7 | the Alexandria database | meta-GGA SCAN | PBEsol geometry; formation energy (no corrections) = -202.8 kJ per mole of atoms; excess energy over the best structure of this formula in the dataset = 0 meV/atom
1.0
6.910 0.000 0.000
0.000 8.219 0.000
-3.582 0.000 8.168
Ni P O
8 8 28
Cartesian
0.182 0.490 2.609
-1.609 3.619 6.693
-1.327 0.610 7.270
0.464 3.499 3.187
2.864 4.720 4.981
4.655 7.609 0.897
4.937 4.600 1.475
3.146 7.729 5.559
-3.260 5.957 7.887
-1.469 6.372 3.803
2.119 6.005 2.108
0.328 6.324 6.192
3.000 1.895 1.976
1.209 2.214 6.060
4.797 1.847 4.364
6.588 2.262 0.281
-2.178 0.698 5.382
-0.387 3.412 1.299
-1.046 5.013 3.223
-2.837 7.316 7.307
-0.754 1.945 3.650
-2.545 2.165 7.734
1.398 5.478 0.778
-0.393 6.850 4.862
1.525 1.972 2.414
-0.266 2.138 6.498
-0.263 5.009 6.615
1.527 7.320 2.531
1.935 4.869 3.126
0.144 7.459 7.210
3.184 0.760 0.958
1.393 3.350 5.042
1.801 0.899 5.637
3.592 3.210 1.553
3.594 6.081 1.670
1.803 6.247 5.753
3.721 1.369 3.306
1.931 2.741 7.390
5.873 6.054 0.434
4.082 6.274 4.518
6.166 0.903 0.861
4.375 3.206 4.944
3.715 4.807 6.869
5.506 7.521 2.785

Record 5
NiP3O9 | the Alexandria database | meta-GGA SCAN | PBEsol geometry; formation energy (no corrections) = -203.6 kJ per mole of atoms; excess energy over the best structure of this formula in the dataset = 0 meV/atom
1.0
6.308 0.000 0.000
0.000 10.424 0.000
0.000 0.000 9.383
Ni P O
4 12 36
Cartesian
0.000 0.000 0.000
0.000 5.212 4.692
3.154 0.000 4.692
3.154 5.212 0.000
0.865 1.369 2.693
0.865 3.843 7.385
1.577 7.818 0.678
1.577 7.818 5.370
2.289 1.369 7.385
2.289 3.843 2.693
4.019 6.581 6.690
4.019 9.055 1.999
4.731 2.606 4.014
4.731 2.606 8.706
5.442 6.581 1.999
5.442 9.055 6.690
0.577 7.188 1.718
0.577 8.448 6.410
0.720 0.218 1.724
0.720 4.994 6.415
0.939 6.795 4.470
0.939 8.840 9.162
1.540 1.034 3.980
1.540 4.178 8.672
1.577 2.606 1.946
1.577 2.606 6.638
1.614 1.034 8.672
1.614 4.178 3.980
2.215 6.795 9.162
2.215 8.840 4.470
2.434 0.218 6.415
2.434 4.994 1.724
2.576 7.188 6.410
2.576 8.448 1.718
3.731 1.976 7.665
3.731 3.236 2.974
3.874 5.430 7.660
3.874 10.206 2.968
4.093 1.583 4.914
4.093 3.628 0.222
4.694 6.246 5.404
4.694 9.390 0.712
4.731 7.818 2.745
4.731 7.818 7.437
4.767 6.246 0.712
4.767 9.390 5.404
5.368 1.583 0.222
5.368 3.628 4.914
5.587 5.430 2.968
5.587 10.206 7.660
5.730 1.976 2.974
5.730 3.236 7.665

Record 6
NiP2O2 | the Alexandria database | meta-GGA SCAN | PBEsol geometry; formation energy (no corrections) = 62.4 kJ per mole of atoms
1.0
4.320 0.000 0.000
0.000 4.320 0.000
0.000 0.000 3.450
Ni P O
1 2 2
Cartesian
0.000 0.000 0.000
0.000 2.160 0.000
2.160 0.000 0.000
0.000 0.000 1.725
2.160 2.160 1.725

Record 7
NiP3O9 | the Alexandria database | meta-GGA SCAN | PBEsol geometry; formation energy (no corrections) = -203.1 kJ per mole of atoms; excess energy over the best structure of this formula in the dataset = 5 meV/atom
1.0
6.391 -9.375 0.000
6.391 9.375 0.000
-5.334 0.000 7.432
Ni P O
6 18 54
Cartesian
3.724 7.899 3.716
0.967 4.821 7.175
3.704 1.684 3.768
6.371 -1.684 0.052
3.634 -4.821 3.459
6.391 -7.899 0.000
3.685 3.766 1.079
0.985 2.603 4.876
-0.685 0.293 5.796
6.345 6.850 2.282
1.982 -0.293 2.080
3.650 5.774 5.959
3.652 -2.603 1.160
1.017 -3.766 4.795
5.523 3.405 5.572
8.099 2.787 1.579
6.366 0.531 2.571
3.699 -0.531 6.288
10.134 0.542 1.376
5.431 -2.787 5.295
7.467 -0.542 5.092
8.190 -3.405 1.856
6.318 -5.774 2.243
3.678 -6.850 5.998
-0.484 6.022 6.597
-2.408 3.615 7.117
2.538 8.441 5.083
3.128 5.168 1.545
0.270 2.635 3.448
4.909 7.323 2.359
1.487 0.391 0.861
-1.718 1.356 6.401
0.360 3.630 5.768
-1.180 -0.391 4.578
2.162 5.513 5.930
3.294 2.674 2.008
6.755 6.294 0.956
5.184 3.949 0.923
4.164 6.355 4.662
0.589 1.164 5.379
0.949 -1.356 2.685
2.482 2.719 4.728
2.343 0.467 3.337
-2.397 -2.635 7.164
-0.324 -0.467 7.053
0.259 -3.615 3.401
3.256 -1.164 1.663
7.760 3.649 0.404
4.540 4.497 6.244
5.008 2.968 4.214
4.884 0.607 2.832
0.627 -2.674 5.724
6.816 1.907 1.934
3.027 -3.630 2.052
2.217 -0.607 6.548
4.127 0.625 5.459
5.149 -2.719 1.012
0.461 -5.168 5.261
2.183 -6.022 2.881
6.795 -0.625 1.742
2.517 -3.949 4.639
9.154 1.724 0.984
5.838 2.427 6.638
4.149 -1.907 5.650
7.172 0.538 3.966
7.675 -2.968 0.498
4.829 -5.513 2.214
9.839 -0.538 0.249
5.093 -3.649 4.120
6.487 -1.724 4.700
2.242 -7.323 6.076
9.672 0.046 2.728
7.004 -0.046 6.444
4.088 -6.294 4.672
6.831 -6.355 0.946
5.205 -8.441 1.367
7.207 -4.497 2.528
8.505 -2.427 2.922

Record 8
Ni2P3O10 | the Alexandria database | meta-GGA SCAN | PBEsol geometry; formation energy (no corrections) = -197.6 kJ per mole of atoms
1.0
4.595 0.000 0.000
0.000 8.212 0.000
-1.193 0.000 8.709
Ni P O
4 6 20
Cartesian
-0.228 0.588 2.942
-0.228 3.518 2.942
3.631 4.694 5.767
3.631 7.624 5.767
0.533 2.053 7.111
1.259 6.159 4.008
1.961 2.053 1.362
1.441 6.159 7.347
2.143 2.053 4.701
2.869 6.159 1.598
-0.197 0.767 6.903
-0.197 3.339 6.903
0.047 6.159 6.626
0.457 4.865 4.286
0.457 7.453 4.286
0.780 2.053 3.989
1.213 0.759 1.637
1.213 3.347 1.637
1.508 6.159 2.454
2.181 6.159 0.170
1.221 2.053 8.539
1.894 2.053 6.255
2.189 4.865 7.072
2.189 7.453 7.072
2.622 6.159 4.720
2.945 0.759 4.423
2.945 3.347 4.423
3.355 2.053 2.083
3.600 4.873 1.806
3.600 7.445 1.806